First-principles (GGA-PBE) data for an optimized crystal structure of LaScCu, as listed in Alexandria.

Results
Energy relative to the elements   0.1160 eV/atom
SG   F-43m (216)
Electronic total energy   -5.0024 eV per atom

Unit cell a=4.8371 b=4.8371 c=4.8371 alpha=60.00 beta=60.00 gamma=60.00
Last column: nearest neighbours and their distance in Å.
Atoms (fractional coordinates):
La  0.0000  0.0000  0.0000  4 Cu 2.96
Sc  0.5000  0.5000  0.5000  4 Cu 2.96
Cu  0.2500  0.2500  0.2500  4 La 2.96, 4 Sc 2.96